Compound: Na3YTm2Se6
Source: Alexandria
Functional: PBE
Structure: optimized geometry

The energy relative to the elements, uncorrected is -164.53 kJ/mol of atoms.

It has space group C2/m (No. 12), with a = 7.124 Å, b = 12.341 Å, c = 7.395 Å, α = 90.00°, β = 108.74° and γ = 90.00°. The asymmetric unit holds Na at (0.000, 0.000, 0.000), Na at (0.000, 0.334, 0.000), Y at (0.000, 0.500, 0.500), Tm at (0.000, 0.167, 0.500), Se at (0.239, 0.000, 0.728) and Se at (0.244, 0.332, 0.728).